(1)
PrPuBrN2: optimized geometry, PBE.

The structure in POSCAR format:
```
PrPuBrN2
1.0
4.1688 0.0000 0.0000
0.0000 7.2578 -0.4977
0.0000 -2.1445 7.6546
N Pr Br Pu
4 2 2 2
direct
0.7500 0.5378 0.4053 N
0.2500 0.5012 0.1429 N
0.2500 0.4622 0.5947 N
0.7500 0.4988 0.8571 N
0.2500 0.6632 0.9258 Pr
0.7500 0.3368 0.0742 Pr
0.7500 0.9738 0.2275 Br
0.2500 0.0262 0.7725 Br
0.7500 0.3531 0.5764 Pu
0.2500 0.6469 0.4236 Pu
```

Computed properties:
V	22.715	Å³ per atom
uncorrected formation energy	-1427	meV/atom

***

(2)
Pr2PuBr2N2: optimized geometry, PBE.

The structure in POSCAR format:
```
Pr2PuBr2N2
1.0
4.4496 0.0000 0.0000
0.0000 4.4496 0.0000
-2.2248 -2.2248 8.0660
Br Pr Pu N
2 2 1 2
direct
0.8130 0.8130 0.6259 Br
0.1870 0.1870 0.3741 Br
0.4028 0.4028 0.8056 Pr
0.5972 0.5972 0.1944 Pr
0.0000 0.0000 0.0000 Pu
0.0000 0.5000 0.0000 N
0.5000 0.0000 0.0000 N
```

Computed properties:
V	22.814	Å³ per atom
uncorrected formation energy	-1272	meV/atom

***

(3)
Pr6Rh2Br3N: optimized geometry, PBE.

The structure in POSCAR format:
```
Pr6Rh2Br3N
1.0
-5.3737 2.7608 3.5619
5.5780 -2.4840 3.4498
3.2897 6.9267 -2.6842
Br Pr Rh N
3 6 2 1
direct
0.5000 0.5000 0.5000 Br
0.8343 0.1657 0.5000 Br
0.1657 0.8343 0.5000 Br
0.7502 0.7502 0.1879 Pr
0.6264 0.9378 0.8122 Pr
0.9378 0.6264 0.8122 Pr
0.2498 0.2498 0.8121 Pr
0.3736 0.0622 0.1878 Pr
0.0622 0.3736 0.1878 Pr
0.6668 0.3332 0.0000 Rh
0.3332 0.6668 0.0000 Rh
0.0000 0.0000 0.0000 N
```

Computed properties:
V	27.665	Å³ per atom
uncorrected formation energy	-1109	meV/atom

***

(4)
Pr6Ru2Br3N: optimized geometry, PBE.

The structure in POSCAR format:
```
Pr6Ru2Br3N
1.0
-2.6578 -6.4488 -0.1256
2.1915 2.7388 6.0302
-6.9560 4.1475 -0.7105
Pr Ru Br N
6 2 3 1
direct
0.3734 0.0619 0.1879 Pr
0.2507 0.2507 0.8114 Pr
0.6266 0.9381 0.8121 Pr
0.0619 0.3734 0.1879 Pr
0.7493 0.7493 0.1886 Pr
0.9381 0.6266 0.8121 Pr
0.6671 0.3329 0.0000 Ru
0.3329 0.6671 0.0000 Ru
0.8316 0.1684 0.5000 Br
0.1684 0.8316 0.5000 Br
0.5000 0.5000 0.5000 Br
0.0000 0.0000 0.0000 N
```

Computed properties:
V	27.381	Å³ per atom
uncorrected formation energy	-943	meV/atom